No. 1
{"formula": "Cs2HgF5", "functional": "PBE", "state": "relaxed", "de_polymorph_mev_per_atom": 0, "rho_g_cm3": 4.67, "vol_a3_per_atom": 24.956, "magmom_total_mub_per_fu": 1.01, "formation_energy_uncorrected_mev_per_atom": -2016.5, "lattice": [[-3.006, 1.268, 3.279], [-4.796, -3.183, -3.167], [1.389, -5.458, 3.383]], "species": ["Cs", "Cs", "Hg", "F", "F", "F", "F", "F"], "frac_coords": [[0.500, 0.500, 0.000], [0.500, 0.000, 0.500], [0.000, 0.000, 0.000], [0.000, 0.768, 0.768], [0.000, 0.232, 0.768], [0.000, 0.768, 0.232], [0.500, 0.000, 0.000], [0.000, 0.232, 0.232]]}

---

No. 2
{"formula": "LiMnTcNi", "functional": "PBE", "state": "relaxed", "rho_g_cm3": 7.57, "vol_a3_per_atom": 11.984, "delta_e_f_ev_per_atom": 0.127, "magmom_total_mub_per_fu": 2.08, "lattice": [[-1.934, 3.467, 0.931], [-2.285, 0.218, 3.370], [1.248, 2.243, 3.168]], "species": ["Ni", "Mn", "Tc", "Li"], "frac_coords": [[0.000, 0.000, 0.000], [0.750, 0.750, 0.750], [0.500, 0.500, 0.500], [0.250, 0.250, 0.250]]}

---

What did the first record say?
{"formula": "Cs2HgF5", "functional": "PBE", "state": "relaxed", "de_polymorph_mev_per_atom": 0, "rho_g_cm3": 4.67, "vol_a3_per_atom": 24.956, "magmom_total_mub_per_fu": 1.01, "formation_energy_uncorrected_mev_per_atom": -2016.5, "lattice": [[-3.006, 1.268, 3.279], [-4.796, -3.183, -3.167], [1.389, -5.458, 3.383]], "species": ["Cs", "Cs", "Hg", "F", "F", "F", "F", "F"], "frac_coords": [[0.500, 0.500, 0.000], [0.500, 0.000, 0.500], [0.000, 0.000, 0.000], [0.000, 0.768, 0.768], [0.000, 0.232, 0.768], [0.000, 0.768, 0.232], [0.500, 0.000, 0.000], [0.000, 0.232, 0.232]]}